# BaNpMnO6, optimized geometry, DFT PBE with a Hubbard U
# - DOS at the Fermi energy (states/eV/cell) = 3.30
# - magnetic moment (μB/atom) = 0.444
# - E_tot (eV/atom) = -8.196
# - crystal system = trigonal
data_BaNpMnO6
_cell_length_a 5.3720
_cell_length_b 5.3720
_cell_length_c 5.8288
_cell_angle_alpha 90.00
_cell_angle_beta 90.00
_cell_angle_gamma 120.00
_symmetry_space_group_name_H-M 'P 3 1 2'
_symmetry_Int_Tables_number 149
loop_
_symmetry_equiv_pos_as_xyz
'x,y,z'
'-y,x-y,z'
'-x+y,-x,z'
'-y,-x,-z'
'-x+y,y,-z'
'x,x-y,-z'
loop_
_atom_site_label
_atom_site_fract_x
_atom_site_fract_y
_atom_site_fract_z
Ba1 0.0000 0.0000 0.0000
Np1 0.6667 0.3333 0.5000
Mn1 0.3333 0.6667 0.5000
O1 0.0165 0.3865 0.6896

=====

# Ba3Np2MnO9, optimized geometry, DFT PBE with a Hubbard U
# - DOS at the Fermi energy (states/eV/cell) = 9.85
# - magnetic moment (μB/atom) = 0.600
# - E_tot (eV/atom) = -8.395
# - crystal system = trigonal
data_Ba3Np2MnO9
_cell_length_a 6.0932
_cell_length_b 6.0932
_cell_length_c 7.5200
_cell_angle_alpha 90.00
_cell_angle_beta 90.00
_cell_angle_gamma 120.00
_symmetry_space_group_name_H-M 'P -3 m 1'
_symmetry_Int_Tables_number 164
_symmetry_space_group_name_Hall '-P 3 2"'
loop_
_atom_site_label
_atom_site_fract_x
_atom_site_fract_y
_atom_site_fract_z
Ba1 0.0000 0.0000 0.0000
Ba2 0.3333 0.6667 0.6510
Np1 0.3333 0.6667 0.1724
Mn1 0.0000 0.0000 0.5000
O1 0.0000 0.5000 0.0000
O2 0.1696 0.3392 0.3310

=====

> The lowest magnetic moment belongs to which entry?

BaNpMnO6

=====

> Number 1 is which compound?

BaNpMnO6

=====

> The lowest magnetic moment belongs to which entry?

BaNpMnO6